Material: CoTcTe2
Method: DFT, PBE
State: relaxed

abc: 3.3771 3.6638 14.5925
angles: 90.00 90.00 90.00
Space group Imm2 (No. 44)
Symmetry-distinct sites (fractional):
Co: 0.0000 0.0000 0.0000 [2 per cell]
Tc: 0.0000 0.5000 0.8906 [2 per cell]
Te: 0.0000 0.0000 0.5503 [2 per cell]
Te: 0.0000 0.5000 0.2991 [2 per cell]

* offset from the most stable computed form: 0.257 eV/atom
* crystal system: orthorhombic
* calculated volume: 181 Å³/cell
* N(E_F): 1.083 states/eV per atom

=====

Material: CoTc4Te
Method: DFT, PBE
State: relaxed

abc: 7.3302 7.3302 7.3302
angles: 90.00 90.00 90.00
Space group F-43m (No. 216)
Symmetry-distinct sites (fractional):
Co: 0.0000 0.0000 0.0000 [4 per cell]
Tc: 0.1255 0.1255 0.6255 [16 per cell]
Te: 0.2500 0.2500 0.2500 [4 per cell]

* final energy: -7.9111 eV per atom
* crystal system: cubic
* calculated volume: 394 Å³/cell
* N(E_F): 1.468 states/eV per atom

=====

Material: CoTcTe2
Method: DFT, PBE
State: relaxed

abc: 6.5993 6.5993 6.5993
angles: 90.00 90.00 90.00
Space group Fm-3m (No. 225)
Symmetry-distinct sites (fractional):
Co: 0.0000 0.0000 0.0000 [4 per cell]
Tc: 0.0000 0.0000 0.5000 [4 per cell]
Te: 0.2500 0.2500 0.2500 [8 per cell]

* offset from the most stable computed form: 0.428 eV/atom
* crystal system: cubic
* calculated volume: 287 Å³/cell
* N(E_F): 0.752 states/eV per atom

=====

Material: CoTcTe2
Method: DFT, PBE
State: relaxed

abc: 4.6598 4.6598 3.2956
angles: 90.00 90.00 90.00
Space group P4/mmm (No. 123)
Symmetry-distinct sites (fractional):
Co: 0.0000 0.0000 0.0000 [1 per cell]
Tc: 0.5000 0.5000 0.0000 [1 per cell]
Te: 0.0000 0.5000 0.5000 [2 per cell]

* offset from the most stable computed form: 0.476 eV/atom
* crystal system: tetragonal
* calculated volume: 72 Å³/cell
* N(E_F): 1.002 states/eV per atom